# 1
A relaxed structure of NiBAsP2. Source: Alexandria, functional GGA-PBE.

## Properties
The value obtained for the theoretical density is 3.99 g cm⁻³. As for the density of states at the Fermi level: 3.3 states/eV/cell.

abc: 4.7029 4.7029 3.8810
angles: 90.00 90.00 90.00
Space group P4/mmm (No. 123)
Asymmetric unit:
Ni (0.0000, 0.0000, 0.0000) (multiplicity 1)
B (0.5000, 0.5000, 0.0000) (multiplicity 1)
As (0.5000, 0.5000, 0.5000) (multiplicity 1)
P (0.0000, 0.5000, 0.5000) (multiplicity 2)


# 2
A relaxed structure of TiNiB2As. Source: Alexandria, functional GGA-PBE.

## Properties
The value obtained for the theoretical density is 4.35 g cm⁻³. As for the density of states at the Fermi level: 2.7 states/eV/cell.

abc: 4.1564 4.1564 4.4923
angles: 90.00 90.00 90.00
Space group P4/mmm (No. 123)
Asymmetric unit:
Ti (0.0000, 0.0000, 0.0000) (multiplicity 1)
Ni (0.0000, 0.0000, 0.5000) (multiplicity 1)
B (0.0000, 0.5000, 0.0000) (multiplicity 2)
As (0.5000, 0.5000, 0.5000) (multiplicity 1)


| no. | calculated formation energy (eV per atom) |
| --- | --- |
| 1 | 1.47 |
| 2 | 1.44 |